Record 1
First-principles (PBE) data for a relaxed structure of Ca3Ac3La, as listed in Alexandria.

Cell: 6.258 10.477 10.477 Å, 120.00 90.00 90.00°
Atoms (fractional coordinates):
Ca1 0.750 0.947 0.190
Ac1 0.250 0.618 0.518
La1 0.250 0.333 0.667
Ac2 0.750 0.518 0.900
Ac3 0.750 0.382 0.482
Ca2 0.750 0.243 0.053
La2 0.750 0.667 0.333
Ca3 0.750 0.810 0.757
Ca4 0.250 0.190 0.243
Ca5 0.250 0.757 0.947
Ca6 0.250 0.053 0.810
Ac4 0.250 0.482 0.100
Ac5 0.750 0.100 0.618
Ac6 0.250 0.900 0.382

Computed properties:
Energy above the lowest structure with this stoichiometry in eV/f.u.: 0.00
Formation energy from the elements in eV/atom: 0.024

***

Record 2
First-principles (PBE) data for a relaxed structure of Ba6Te3S2Br, as listed in Alexandria.

Cell: 4.805 9.623 10.718 Å, 102.33 102.95 90.00°
Atoms (fractional coordinates):
Te1 0.838 0.165 0.677
Ba1 0.329 0.895 0.658
S1 0.167 0.334 0.335
Te2 0.162 0.835 0.323
Br1 0.500 0.000 0.000
Te3 0.500 0.500 0.000
Ba2 0.328 0.428 0.656
Ba3 0.991 0.742 0.982
Ba4 0.671 0.105 0.342
S2 0.833 0.666 0.665
Ba5 0.009 0.258 0.018
Ba6 0.672 0.572 0.344

Computed properties:
Energy relative to the elements, uncorrected in eV/f.u.: -22.154

***

Record 3
First-principles (PBE) data for a relaxed structure of Y2WBr, as listed in Alexandria.

Cell: 6.534 6.534 6.534 Å, 149.81 135.50 54.72°
Atoms (fractional coordinates):
Y1 0.039 0.039 0.000
Br1 0.445 0.445 0.000
W1 0.258 0.758 0.500
Y2 0.758 0.258 0.500

Computed properties:
Energy above the lowest structure with this stoichiometry in eV/f.u.: 1.67
Energy relative to the elements, uncorrected in eV/f.u.: 0.906

***

Record 4
First-principles (PBE) data for a relaxed structure of Ac3Zn2Ag2, as listed in Alexandria.

Cell: 4.438 6.326 8.401 Å, 108.89 90.00 110.54°
Atoms (fractional coordinates):
Ag1 0.973 0.946 0.668
Zn1 0.196 0.391 0.942
Ac1 0.320 0.639 0.352
Ac2 0.680 0.361 0.648
Ag2 0.027 0.054 0.332
Zn2 0.804 0.609 0.058
Ac3 0.500 0.000 0.000

Computed properties:
Formation energy from the elements in eV/atom: -0.252

***

Number 1: Fermi-level density of states 9.6 states/eV/f.u., uncorrected energy -46.18 eV for the cell shown. Number 2: Fermi-level density of states 3.4 states/eV/f.u., uncorrected energy -53.04 eV for the cell shown. Number 3: Fermi-level density of states 4.3 states/eV/f.u., uncorrected energy -26.65 eV for the cell shown. Number 4: Fermi-level density of states 7.5 states/eV/f.u., uncorrected energy -22.34 eV for the cell shown.